Rb2SeBr6F: relaxed, GGA-PBE.

Values from the calculation:
**D(E_F)**: 0.48 states/eV/atom
**ΔE_f (raw)**: -0.848 eV/atom

Lattice parameters (Å, degrees): 7.380 7.380 11.399 90.00 90.00 90.00
Space group I4/mmm (No. 139)
Symmetry-distinct sites (fractional):
Rb1 0.000 0.500 0.250 x4
Se1 0.000 0.000 0.000 x2
Br1 0.000 0.000 0.228 x4
Br2 0.248 0.248 0.000 x8
F1 0.000 0.000 0.500 x2